HfIN2O (meta-GGA SCAN, PBEsol geometry); space-group type = P4/mmm; D(E_F) = 2.41 states/eV per cell; E_form (uncorrected) = -0.05 eV/atom; calculated total energy = -24.9002 eV per atom
1.0
4.3138 0.0000 0.0000
0.0000 4.3138 0.0000
0.0000 0.0000 3.9367
Hf I N O
1 1 2 1
Cartesian
0.0000 0.0000 0.0000
2.1569 2.1569 1.9683
0.0000 2.1569 0.0000
2.1569 0.0000 0.0000
0.0000 0.0000 1.9683